Below is a relaxed structure of NdLuAlCu, with properties calculated at the PBE level.

a b c (Å): 7.1817 7.1817 7.1817
angles (deg): 90.00 90.00 90.00
Space group F-43m (No. 216)
One atom of each set of equivalent atoms:
Nd 0.0000 0.0000 0.0000 [4 per cell]
Lu 0.0000 0.0000 0.5000 [4 per cell]
Al 0.2500 0.2500 0.7500 [4 per cell]
Cu 0.2500 0.2500 0.2500 [4 per cell]

Calculated values
- ρ: 7.3 g/cm3
- DOS at the Fermi energy: 15.201 states/eV per cell
- E: -4.529 eV per atom